! CoSi2Sb4 PBE optimized geometry; values from VASP
&SYSTEM
  ibrav = 0, nat = 7, ntyp = 3
/
ATOMIC_SPECIES
Si 28.09 Si.upf
Sb 121.76 Sb.upf
Co 58.93 Co.upf
CELL_PARAMETERS angstrom
-0.180 4.008 3.246
-2.335 -2.959 3.524
4.407 -1.134 5.747
ATOMIC_POSITIONS crystal
Si 0.598 0.598 0.803
Si 0.402 0.402 0.197
Sb 0.801 0.801 0.398
Sb 0.000 0.500 0.000
Sb 0.199 0.199 0.602
Sb 0.500 0.000 0.000
Co 0.000 0.000 0.000
! size of the total moment: 0.00 μB per formula unit
! formation energy from raw total energies: 0.4941 eV/atom
! total DFT energy (no corrections): -31.0 eV per cell



! CoSiSb3 PBE optimized geometry; values from VASP
&SYSTEM
  ibrav = 0, nat = 5, ntyp = 3
/
ATOMIC_SPECIES
Sb 121.76 Sb.upf
Co 58.93 Co.upf
Si 28.09 Si.upf
CELL_PARAMETERS angstrom
4.921 0.000 0.000
0.000 4.921 0.000
0.000 0.000 4.921
ATOMIC_POSITIONS crystal
Sb 0.000 0.000 0.500
Sb 0.500 0.000 0.000
Sb 0.000 0.500 0.000
Co 0.000 0.000 0.000
Si 0.500 0.500 0.500
! size of the total moment: 0.00 μB per formula unit
! formation energy from raw total energies: 0.5884 eV/atom
! relative energy among the computed polymorphs: 0.000 eV per formula unit
! total DFT energy (no corrections): -22.0 eV per cell



! Co2SiSb PBE optimized geometry; values from VASP
&SYSTEM
  ibrav = 0, nat = 4, ntyp = 3
/
ATOMIC_SPECIES
Co 58.93 Co.upf
Si 28.09 Si.upf
Sb 121.76 Sb.upf
CELL_PARAMETERS angstrom
-0.082 3.657 2.210
-1.898 3.795 -0.508
-3.892 -0.442 2.579
ATOMIC_POSITIONS crystal
Co 0.978 0.978 0.115
Co 0.752 0.752 0.763
Si 0.271 0.271 0.090
Sb 0.499 0.499 0.532
! size of the total moment: 0.00 μB per formula unit
! formation energy from raw total energies: -0.0408 eV/atom
! relative energy among the computed polymorphs: 0.262 eV per formula unit
! total DFT energy (no corrections): -23.9 eV per cell



! Co2SiSb PBE optimized geometry; values from VASP
&SYSTEM
  ibrav = 0, nat = 4, ntyp = 3
/
ATOMIC_SPECIES
Co 58.93 Co.upf
Si 28.09 Si.upf
Sb 121.76 Sb.upf
CELL_PARAMETERS angstrom
-2.987 1.226 2.988
1.417 -2.645 3.218
2.113 3.167 -2.206
ATOMIC_POSITIONS crystal
Co 0.456 0.456 0.000
Co 0.044 0.044 0.000
Si 0.250 0.750 0.500
Sb 0.750 0.250 0.500
! size of the total moment: 0.00 μB per formula unit
! formation energy from raw total energies: 0.0385 eV/atom
! relative energy among the computed polymorphs: 0.579 eV per formula unit
! total DFT energy (no corrections): -23.6 eV per cell



Q: Look up the size of the total moment of the second one.
A: 0.00 μB per formula unit